# 1
The following is a PBE calculation of a geometry-optimized Ba3Cd2Sn4 structure, from Alexandria via LeMat-Bulk.

The space group is C2/m (No. 12) and the conventional cell measures 12.692, 5.061 and 9.786 Å, with angles of 90.00, 102.61 and 90.00 degrees. Symmetry generates all atoms from Ba at (0.000, 0.000, 0.000), Ba at (0.122, 0.500, 0.695), Cd at (0.190, 0.500, 0.358), Sn at (0.084, 0.000, 0.411) and Sn at (0.207, 0.500, 0.059).

Its calculated density is 6.02 g/cm3. Its crystal system is monoclinic. The formation energy comes out at -0.546 eV/atom.



# 2
The following is a PBE calculation of a geometry-optimized Li4Mg2Zn structure, from Alexandria via LeMat-Bulk.

The space group is Cmmm (No. 65) and the conventional cell measures 4.585, 20.325 and 2.907 Å, with angles of 90.00, 90.00 and 90.00 degrees. Symmetry generates all atoms from Li at (0.000, 0.064, 0.000), Li at (0.000, 0.360, 0.500), Mg at (0.000, 0.206, 0.000) and Zn at (0.000, 0.500, 0.500).

Its calculated density is 1.74 g/cm3. Its energy above the most stable polymorph in this dataset is 6.7 meV per atom. Its crystal system is orthorhombic. The formation energy comes out at -0.015 eV/atom.